Entry 1:
LaPr6Al, relaxed, DFT PBE; symmetry = P4/mmm (123)
1.0
-4.7518 1.6539 0.2794
-0.7461 -2.8357 4.0982
3.1221 7.9452 6.0660
Pr La Al
6 1 1
Direct
0.5000 0.5000 0.0000
0.0000 0.5000 0.7346
0.5000 0.0000 0.2654
0.0000 0.5000 0.2654
0.5000 0.5000 0.5000
0.5000 0.0000 0.7346
0.0000 0.0000 0.0000
0.0000 0.0000 0.5000

=====

Entry 2:
Ir2PdRu2, relaxed, DFT PBE; relative energy among the computed polymorphs = 0 meV/atom; symmetry = P4/mbm (127)
1.0
-1.8857 3.0119 6.5925
-7.2071 -0.0564 -2.0357
-0.2812 -2.5075 1.0651
Ir Ru Pd
4 4 2
Direct
0.8766 0.6234 0.0000
0.1234 0.3766 0.0000
0.6234 0.1234 0.0000
0.3766 0.8766 0.0000
0.8281 0.3281 0.5000
0.3281 0.1719 0.5000
0.6719 0.8281 0.5000
0.1719 0.6719 0.5000
0.0000 0.0000 0.0000
0.5000 0.5000 0.0000

=====

Entry 3:
TaTi2Al, relaxed, DFT PBE; symmetry = I-42d (122)
1.0
7.2933 0.0000 0.0000
0.0000 7.2933 0.0000
3.6466 3.6466 2.6947
Al Ti Ta
2 4 2
Direct
0.5000 0.5000 0.0000
0.2500 0.7500 0.5000
0.8750 0.8673 0.7500
0.6173 0.1250 0.2500
0.1327 0.6250 0.2500
0.3750 0.3827 0.7500
0.0000 0.0000 0.0000
0.7500 0.2500 0.5000

=====

Entry 4:
Dy2AlGa9, relaxed, DFT PBE; symmetry = P4/mmm (123)
1.0
-4.1577 0.3608 -0.7552
-0.7830 -3.0284 2.8639
-0.8858 8.8310 9.0961
Ga Dy Al
9 2 1
Direct
0.0000 0.5000 0.8454
0.5000 0.5000 0.6645
0.5000 0.5000 0.0000
0.0000 0.5000 0.5000
0.5000 0.0000 0.1546
0.5000 0.5000 0.3355
0.5000 0.0000 0.8454
0.5000 0.0000 0.5000
0.0000 0.5000 0.1546
0.0000 0.0000 0.3315
0.0000 0.0000 0.6685
0.0000 0.0000 0.0000

=====

Entry 5:
Sc2TcOs2, relaxed, DFT PBE; relative energy among the computed polymorphs = 0 meV/atom; symmetry = P4/mbm (127)
1.0
6.4765 0.0000 0.0000
0.0000 6.4765 0.0000
0.0000 0.0000 4.3481
Sc Os Tc
4 4 2
Direct
0.1786 0.6786 0.5000
0.8214 0.3214 0.5000
0.3214 0.1786 0.5000
0.6786 0.8214 0.5000
0.8655 0.6345 0.0000
0.1345 0.3655 0.0000
0.3655 0.8655 0.0000
0.6345 0.1345 0.0000
0.0000 0.0000 0.0000
0.5000 0.5000 0.0000

=====

Entry 6:
TlCl, relaxed, DFT PBE; uncorrected formation energy = -969 meV per atom; symmetry = Pm-3m (221)
1.0
-0.2350 3.5494 1.5532
-2.7106 -1.2625 2.4748
2.7683 -0.9348 2.5552
Cl Tl
1 1
Direct
0.0000 0.0000 0.0000
0.5000 0.5000 0.5000

=====

Entry 7:
Ca3HAu, relaxed, DFT PBE; relative energy among the computed polymorphs = 41 meV/atom; symmetry = P2_1/m (11)
1.0
3.9371 0.0000 0.0000
0.0000 7.8411 0.0398
0.0000 -1.7173 8.2252
Ca Au H
6 2 2
Direct
0.2500 0.3815 0.6260
0.2500 0.7159 0.0328
0.7500 0.2841 0.9672
0.2500 0.9329 0.6735
0.7500 0.6185 0.3740
0.7500 0.0671 0.3265
0.7500 0.6627 0.7550
0.2500 0.3373 0.2450
0.2500 0.8630 0.3709
0.7500 0.1370 0.6291

=====

Entry 8:
Nb6NiPd, relaxed, DFT PBE; symmetry = I4/mmm (139)
1.0
-3.4419 -0.5949 -3.1531
-2.0136 -3.1998 2.8017
-6.0179 2.5783 2.5715
Nb Pd Ni
6 1 1
Direct
0.6240 0.1240 0.7520
0.2478 0.2478 0.5043
0.8760 0.3760 0.2480
0.1240 0.6240 0.7520
0.7522 0.7522 0.4957
0.3760 0.8760 0.2480
0.5000 0.5000 0.0000
0.0000 0.0000 0.0000

=====

Entry 9:
Pm3BiPN, relaxed, DFT PBE; uncorrected formation energy = -1211 meV per atom; symmetry = P2_1/m (11)
1.0
4.1987 0.0000 0.0000
0.0000 8.9245 0.5792
0.0000 -2.8317 9.0864
Pm Bi P N
6 2 2 2
Direct
0.2500 0.5666 0.8486
0.2500 0.8396 0.4792
0.7500 0.8844 0.1601
0.7500 0.1604 0.5208
0.7500 0.4334 0.1514
0.2500 0.1156 0.8399
0.7500 0.8126 0.7763
0.2500 0.1874 0.2237
0.2500 0.6544 0.1500
0.7500 0.3456 0.8500
0.2500 0.0909 0.6025
0.7500 0.9091 0.3975

=====

Entry 10:
Mg3CdRe, relaxed, DFT PBE; relative energy among the computed polymorphs = 0 meV/atom; symmetry = Pm-3m (221)
1.0
5.0799 0.0000 0.0000
0.0000 5.0799 0.0000
0.0000 0.0000 5.0799
Re Mg Cd
1 3 1
Direct
0.0000 0.0000 0.0000
0.5000 0.0000 0.0000
0.0000 0.0000 0.5000
0.0000 0.5000 0.0000
0.5000 0.5000 0.5000

=====

Entry 11:
Nb2Pd6Au, relaxed, DFT PBE; relative energy among the computed polymorphs = 0 meV/atom; symmetry = P-62m (189)
1.0
-0.3229 -2.6201 -0.9970
4.3927 1.7860 -6.1164
3.2689 -2.8431 6.4131
Pd Nb Au
6 2 1
Direct
0.5000 0.6377 0.0000
0.0000 0.6858 0.6858
0.0000 0.0000 0.3142
0.0000 0.3142 0.0000
0.5000 0.3623 0.3623
0.5000 0.0000 0.6377
0.0000 0.3333 0.6667
0.0000 0.6666 0.3333
0.5000 0.0000 0.0000

=====

Entry 12:
Ni3Ag4, relaxed, DFT PBE; relative energy among the computed polymorphs = 24 meV/atom; symmetry = P6/mmm (191)
1.0
2.4122 -4.1780 0.0000
2.4122 4.1780 0.0000
0.0000 0.0000 5.2083
Ag Ni
4 3
Direct
0.6667 0.3333 0.5000
0.0000 0.0000 0.2506
0.0000 0.0000 0.7494
0.3333 0.6667 0.5000
0.5000 0.0000 0.0000
0.0000 0.5000 0.0000
0.5000 0.5000 0.0000

=====

Entry 13:
ZnHgBr2, relaxed, DFT PBE; uncorrected formation energy = -596 meV per atom; relative energy among the computed polymorphs = 30 meV/atom; symmetry = P1 (1)
1.0
6.7161 0.0000 0.0000
3.3344 6.1393 0.0000
1.8483 1.6127 6.6633
Br Hg Zn
4 2 2
Direct
0.7404 0.9727 0.0854
0.0781 0.7922 0.5585
0.4117 0.6549 0.0193
0.0440 0.3368 0.0898
0.4403 0.1884 0.5512
0.9009 0.3264 0.5585
0.7527 0.3355 0.9312
0.0682 0.7003 0.9072

=====

Entry 14:
Ag7Se2ClF2, relaxed, DFT PBE; uncorrected formation energy = -399 meV per atom; symmetry = Imm2 (44)
1.0
-2.4250 3.6626 -1.6101
-3.6126 -0.7813 3.6638
8.0384 4.6275 5.2167
Ag Se Cl F
7 2 1 2
Direct
0.6151 0.1237 0.2302
0.7766 0.8548 0.5532
0.5000 0.5716 0.0000
0.2234 0.3016 0.4468
0.9131 0.2626 0.8262
0.0869 0.4364 0.1738
0.3849 0.8935 0.7698
0.3711 0.3828 0.7421
0.6289 0.6406 0.2579
0.0000 0.9535 0.0000
0.7411 0.2803 0.4823
0.2589 0.7981 0.5177

=====

Entry 15:
Mg2InCu, relaxed, DFT PBE; symmetry = R3m (160)
1.0
3.1853 0.0000 0.0000
1.5926 2.7585 0.0000
1.5926 0.9195 9.2182
Cu Mg In
1 2 1
Direct
0.6664 0.6664 0.0007
0.0725 0.0725 0.7825
0.2609 0.2609 0.2174
0.5002 0.5002 0.4994

=====

Entry 16:
LiNiBr, relaxed, DFT PBE; uncorrected formation energy = -184 meV per atom; relative energy among the computed polymorphs = 269 meV/atom; symmetry = Pnma (62)
1.0
-1.3723 6.7291 -2.2447
-3.6883 -0.7866 -0.1030
-0.6841 2.2640 7.2051
Li Br Ni
4 4 4
Direct
0.9626 0.2500 0.8128
0.0374 0.7500 0.1872
0.4626 0.2500 0.6872
0.5374 0.7500 0.3128
0.2660 0.2500 0.9974
0.7660 0.2500 0.5026
0.2340 0.7500 0.4974
0.7340 0.7500 0.0026
0.7388 0.7500 0.7004
0.2388 0.7500 0.7996
0.7612 0.2500 0.2004
0.2612 0.2500 0.2996

=====

Entry 17:
Pm15ErSc4, relaxed, DFT PBE; symmetry = P4/mmm (123)
1.0
-1.5864 0.8797 4.7049
3.3875 -3.2953 1.7584
16.8499 18.5065 2.2212
Pm Sc Er
15 4 1
Direct
0.5000 0.0000 0.8973
0.0000 0.5000 0.3012
0.5000 0.5000 0.2020
0.5000 0.0000 0.6988
0.5000 0.0000 0.3012
0.0000 0.5000 0.5000
0.5000 0.0000 0.5000
0.5000 0.5000 0.0000
0.0000 0.5000 0.6988
0.5000 0.5000 0.4006
0.0000 0.5000 0.1027
0.5000 0.0000 0.1027
0.5000 0.5000 0.7980
0.5000 0.5000 0.5994
0.0000 0.5000 0.8973
0.0000 0.0000 0.2019
0.0000 0.0000 0.5994
0.0000 0.0000 0.7981
0.0000 0.0000 0.4006
0.0000 0.0000 0.0000

=====

Entry 18:
In2HPb, relaxed, DFT PBE; relative energy among the computed polymorphs = 135 meV/atom; symmetry = I-42d (122)
1.0
-0.2487 4.0482 3.8039
-3.9831 2.5241 -2.9467
-6.7095 -0.1027 3.7348
Pb In H
2 4 2
Direct
0.0000 0.0000 0.0000
0.7500 0.2500 0.5000
0.8750 0.7283 0.7500
0.2717 0.6250 0.2500
0.3750 0.5217 0.7500
0.4783 0.1250 0.2500
0.2500 0.7500 0.5000
0.5000 0.5000 0.0000

=====

Number 1: E_tot -37.7 eV/cell. Number 2: E_tot -80.5 eV/cell. Number 3: E_tot -59.8 eV/cell. Number 4: E_tot -44.0 eV/cell. Number 5: E_tot -92.5 eV/cell. Number 6: E_tot -6.2 eV/cell. Number 7: E_tot -29.8 eV/cell. Number 8: E_tot -72.0 eV/cell. Number 9: E_tot -78.3 eV/cell. Number 10: E_tot -13.5 eV/cell. Number 11: E_tot -56.7 eV/cell. Number 12: E_tot -27.3 eV/cell. Number 13: E_tot -14.6 eV/cell. Number 14: E_tot -37.3 eV/cell. Number 15: E_tot -10.0 eV/cell. Number 16: E_tot -39.7 eV/cell. Number 17: E_tot -100.6 eV/cell. Number 18: E_tot -22.6 eV/cell.